# GGA+U MnRuO2F, optimized geometry
data_MnRuO2F
_chemical_formula_sum 'Mn1 Ru1 O2 F1'
_space_group_name_H-M_alt 'P 4/m m m'
_space_group_IT_number 123
_space_group_name_Hall '-P 4 2'
_cell_length_a 3.902
_cell_length_b 3.902
_cell_length_c 4.200
_cell_angle_alpha 90.00
_cell_angle_beta 90.00
_cell_angle_gamma 90.00
loop_
_atom_site_label
_atom_site_fract_x
_atom_site_fract_y
_atom_site_fract_z
Mn1 0.000 0.000 0.000
Ru1 0.500 0.500 0.500
O1 0.000 0.500 0.500
F1 0.500 0.500 0.000
# Mass density: 5.4 g cm⁻³
# M_tot: 4.813 μB per formula unit
# Crystal system: tetragonal
# Total energy: -32.520 eV for the cell shown

***

# GGA+U MnRuOF2, optimized geometry
data_MnRuOF2
_chemical_formula_sum 'Mn1 Ru1 O1 F2'
_space_group_name_H-M_alt 'P 4/m m m'
_space_group_IT_number 123
_space_group_name_Hall '-P 4 2'
_cell_length_a 4.702
_cell_length_b 4.702
_cell_length_c 3.425
_cell_angle_alpha 90.00
_cell_angle_beta 90.00
_cell_angle_gamma 90.00
loop_
_atom_site_label
_atom_site_fract_x
_atom_site_fract_y
_atom_site_fract_z
Mn1 0.000 0.000 0.000
Ru1 0.500 0.500 0.000
O1 0.000 0.000 0.500
F1 0.000 0.500 0.500
# Mass density: 4.6 g cm⁻³
# M_tot: 5.200 μB per formula unit
# Energy above the lowest structure with this stoichiometry: 1171.0 meV/atom
# Crystal system: tetragonal
# Total energy: -23.979 eV for the cell shown

***

# GGA+U MnRuOF2, optimized geometry
data_MnRuOF2
_chemical_formula_sum 'Mn1 Ru1 O1 F2'
_space_group_name_H-M_alt 'P 4/m m m'
_space_group_IT_number 123
_space_group_name_Hall '-P 4 2'
_cell_length_a 4.408
_cell_length_b 4.408
_cell_length_c 3.730
_cell_angle_alpha 90.00
_cell_angle_beta 90.00
_cell_angle_gamma 90.00
loop_
_atom_site_label
_atom_site_fract_x
_atom_site_fract_y
_atom_site_fract_z
Mn1 0.000 0.000 0.000
Ru1 0.500 0.500 0.500
O1 0.500 0.500 0.000
F1 0.000 0.500 0.500
# Mass density: 4.8 g cm⁻³
# M_tot: 4.828 μB per formula unit
# Energy above the lowest structure with this stoichiometry: 0.0 meV/atom
# Crystal system: tetragonal
# Total energy: -29.834 eV for the cell shown

***

# GGA+U MnRuO2F, optimized geometry
data_MnRuO2F
_chemical_formula_sum 'Mn1 Ru1 O2 F1'
_space_group_name_H-M_alt 'P 4/m m m'
_space_group_IT_number 123
_space_group_name_Hall '-P 4 2'
_cell_length_a 3.793
_cell_length_b 3.793
_cell_length_c 3.781
_cell_angle_alpha 90.00
_cell_angle_beta 90.00
_cell_angle_gamma 90.00
loop_
_atom_site_label
_atom_site_fract_x
_atom_site_fract_y
_atom_site_fract_z
Mn1 0.000 0.000 0.000
Ru1 0.500 0.500 0.500
O1 0.000 0.500 0.000
F1 0.000 0.000 0.500
# Mass density: 6.3 g cm⁻³
# M_tot: 0.887 μB per formula unit
# Crystal system: tetragonal
# Total energy: -28.211 eV for the cell shown

***

# GGA+U MnSbO2F, optimized geometry
data_MnSbO2F
_chemical_formula_sum 'Mn1 Sb1 O2 F1'
_space_group_name_H-M_alt 'P 4/m m m'
_space_group_IT_number 123
_space_group_name_Hall '-P 4 2'
_cell_length_a 4.001
_cell_length_b 4.001
_cell_length_c 4.057
_cell_angle_alpha 90.00
_cell_angle_beta 90.00
_cell_angle_gamma 90.00
loop_
_atom_site_label
_atom_site_fract_x
_atom_site_fract_y
_atom_site_fract_z
Mn1 0.000 0.000 0.000
Sb1 0.500 0.500 0.500
O1 0.000 0.500 0.000
F1 0.000 0.000 0.500
# Mass density: 5.8 g cm⁻³
# M_tot: 4.239 μB per formula unit
# Crystal system: tetragonal
# Total energy: -29.342 eV for the cell shown

***

# GGA+U MnSbO2F, optimized geometry
data_MnSbO2F
_chemical_formula_sum 'Mn2 Sb2 O4 F2'
_space_group_name_H-M_alt 'P 1 21/m 1'
_space_group_IT_number 11
_space_group_name_Hall '-P 2yb'
_cell_length_a 5.160
_cell_length_b 3.958
_cell_length_c 7.387
_cell_angle_alpha 90.00
_cell_angle_beta 94.86
_cell_angle_gamma 90.00
loop_
_atom_site_label
_atom_site_fract_x
_atom_site_fract_y
_atom_site_fract_z
Mn1 0.184 0.250 0.399
Sb1 0.208 0.250 0.880
O1 0.018 0.750 0.353
O2 0.037 0.750 0.902
F1 0.438 0.750 0.657
# Mass density: 5.0 g cm⁻³
# M_tot: 4.999 μB per formula unit
# Crystal system: monoclinic
# Total energy: -64.748 eV for the cell shown

***

# GGA+U MnSbO2F, optimized geometry
data_MnSbO2F
_chemical_formula_sum 'Mn1 Sb1 O2 F1'
_space_group_name_H-M_alt 'P 4/m m m'
_space_group_IT_number 123
_space_group_name_Hall '-P 4 2'
_cell_length_a 4.255
_cell_length_b 4.255
_cell_length_c 4.382
_cell_angle_alpha 90.00
_cell_angle_beta 90.00
_cell_angle_gamma 90.00
loop_
_atom_site_label
_atom_site_fract_x
_atom_site_fract_y
_atom_site_fract_z
Mn1 0.000 0.000 0.000
Sb1 0.500 0.500 0.500
O1 0.000 0.500 0.500
F1 0.500 0.500 0.000
# Mass density: 4.8 g cm⁻³
# M_tot: 5.516 μB per formula unit
# Crystal system: tetragonal
# Total energy: -28.261 eV for the cell shown

***

# GGA+U ScMnOF2, optimized geometry
data_ScMnOF2
_chemical_formula_sum 'Sc1 Mn1 O1 F2'
_space_group_name_H-M_alt 'P 4/m m m'
_space_group_IT_number 123
_space_group_name_Hall '-P 4 2'
_cell_length_a 4.225
_cell_length_b 4.225
_cell_length_c 4.060
_cell_angle_alpha 90.00
_cell_angle_beta 90.00
_cell_angle_gamma 90.00
loop_
_atom_site_label
_atom_site_fract_x
_atom_site_fract_y
_atom_site_fract_z
Sc1 0.000 0.000 0.000
Mn1 0.500 0.500 0.500
O1 0.000 0.000 0.500
F1 0.000 0.500 0.000
# Mass density: 3.5 g cm⁻³
# M_tot: 5.834 μB per formula unit
# Energy above the lowest structure with this stoichiometry: 0.0 meV/atom
# Crystal system: tetragonal
# Total energy: -34.892 eV for the cell shown